Below is a relaxed structure of CrP4O12, with properties calculated at the GGA-PBEsol level.

Symmetry: Pbcn, No. 60
Formation energy (no corrections), kJ/mol of atoms: -193.50
E above lowest polymorph, eV per formula unit: 0.00
Final energy, eV/cell: -522.0

a b c (Å): 8.281 8.934 12.690
angles (deg): 90.00 90.00 90.00
Each line ends with the local moment (μB).
Atoms (fractional coordinates):
O 0.879 0.092 0.253  0.00
O 0.121 0.592 0.253  0.00
O 0.859 0.883 0.382  -0.01
O 0.025 0.637 0.436  -0.01
O 0.133 0.963 0.315  0.00
O 0.879 0.408 0.747  0.00
O 0.703 0.867 0.567  0.00
O 0.525 0.637 0.064  -0.01
O 0.797 0.133 0.067  0.00
O 0.641 0.117 0.882  -0.01
O 0.975 0.137 0.436  -0.01
O 0.359 0.617 0.882  -0.01
O 0.633 0.537 0.815  0.00
O 0.475 0.137 0.064  -0.01
O 0.090 0.127 0.878  -0.01
O 0.867 0.037 0.685  0.00
O 0.867 0.463 0.315  0.00
O 0.621 0.592 0.247  0.00
O 0.379 0.408 0.753  0.00
O 0.297 0.133 0.433  0.00
O 0.203 0.867 0.933  0.00
O 0.121 0.908 0.747  0.00
O 0.641 0.383 0.118  -0.01
O 0.633 0.963 0.185  0.00
O 0.133 0.537 0.685  0.00
O 0.859 0.617 0.618  -0.01
O 0.297 0.367 0.567  0.00
O 0.090 0.373 0.122  -0.01
O 0.910 0.873 0.122  -0.01
O 0.590 0.373 0.378  -0.01
O 0.141 0.383 0.382  -0.01
O 0.203 0.633 0.067  0.00
O 0.379 0.092 0.247  0.00
O 0.975 0.363 0.564  -0.01
O 0.359 0.883 0.118  -0.01
O 0.367 0.463 0.185  0.00
O 0.410 0.627 0.622  -0.01
O 0.797 0.367 0.933  0.00
O 0.025 0.863 0.564  -0.01
O 0.621 0.908 0.753  0.00
O 0.525 0.863 0.936  -0.01
O 0.367 0.037 0.815  0.00
O 0.475 0.363 0.936  -0.01
O 0.410 0.873 0.378  -0.01
O 0.141 0.117 0.618  -0.01
O 0.910 0.627 0.878  -0.01
O 0.703 0.633 0.433  0.00
O 0.590 0.127 0.622  -0.01
P 0.460 0.483 0.852  0.01
P 0.185 0.994 0.853  0.00
P 0.960 0.017 0.352  0.01
P 0.040 0.517 0.352  0.01
P 0.185 0.506 0.147  0.00
P 0.460 0.017 0.148  0.01
P 0.540 0.983 0.852  0.01
P 0.040 0.983 0.648  0.01
P 0.540 0.517 0.148  0.01
P 0.685 0.994 0.647  0.00
P 0.315 0.006 0.353  0.00
P 0.815 0.494 0.853  0.00
P 0.960 0.483 0.648  0.01
P 0.685 0.506 0.353  0.00
P 0.315 0.494 0.647  0.00
P 0.815 0.006 0.147  0.00
Cr 0.644 0.250 0.000  1.95
Cr 0.856 0.750 0.500  1.95
Cr 0.144 0.250 0.500  1.95
Cr 0.356 0.750 0.000  1.95